A relaxed structure of Li2MnCu3O8. Source: the Alexandria database, functional PBE+U.

Cell: 8.3041 8.3041 8.3041 Å, 90.00 90.00 90.00°
Fractional positions:
Li 0.4981 0.4981 0.4981
Li 0.7519 0.7519 0.7519
Li 0.7481 0.2481 0.2519
Li 0.0019 0.5019 0.9981
Li 0.9981 0.0019 0.5019
Li 0.2519 0.7481 0.2481
Li 0.2481 0.2519 0.7481
Li 0.5019 0.9981 0.0019
Mn 0.6250 0.3750 0.8750
Mn 0.8750 0.6250 0.3750
Mn 0.1250 0.1250 0.1250
Mn 0.3750 0.8750 0.6250
Cu 0.6275 0.6225 0.1250
Cu 0.6250 0.8725 0.3775
Cu 0.6225 0.1250 0.6275
Cu 0.8775 0.8750 0.1275
Cu 0.8750 0.1275 0.8775
Cu 0.8725 0.3775 0.6250
Cu 0.1275 0.8775 0.8750
Cu 0.1250 0.6275 0.6225
Cu 0.1225 0.3750 0.3725
Cu 0.3775 0.6250 0.8725
Cu 0.3750 0.3725 0.1225
Cu 0.3725 0.1225 0.3750
O 0.6171 0.6074 0.8852
O 0.6148 0.3829 0.1074
O 0.6104 0.1104 0.3896
O 0.6426 0.6329 0.3648
O 0.6074 0.8852 0.6171
O 0.6396 0.8604 0.1396
O 0.6352 0.1426 0.8671
O 0.6329 0.3648 0.6426
O 0.8671 0.6352 0.1426
O 0.8648 0.8574 0.3671
O 0.8604 0.1396 0.6396
O 0.8926 0.1148 0.1171
O 0.8574 0.3671 0.8648
O 0.8896 0.8896 0.8896
O 0.8852 0.6171 0.6074
O 0.8829 0.3926 0.3852
O 0.1171 0.8926 0.1148
O 0.1148 0.1171 0.8926
O 0.1104 0.3896 0.6104
O 0.1426 0.8671 0.6352
O 0.1074 0.6148 0.3829
O 0.1396 0.6396 0.8604
O 0.1352 0.3574 0.1329
O 0.1329 0.1352 0.3574
O 0.3671 0.8648 0.8574
O 0.3648 0.6426 0.6329
O 0.3604 0.3604 0.3604
O 0.3926 0.3852 0.8829
O 0.3574 0.1329 0.1352
O 0.3896 0.6104 0.1104
O 0.3852 0.8829 0.3926
O 0.3829 0.1074 0.6148

DOS at the Fermi energy	7.22	states/eV/f.u.
energy above the most stable polymorph in this dataset	2	meV per atom
total moment	32.057	μB per cell